(1)
The following is a GGA-PBE calculation of a relaxed NdY3Mg4 crystal, from the Alexandria database.

Geometry as POSCAR:
```
NdY3Mg4
1.0
-1.3192 -5.1560 -0.9406
6.9686 -1.2557 -2.8901
3.5884 -2.7116 9.8307
Nd Mg Y
2 8 6
Cartesian
5.2785 -1.9837 3.4703
3.4843 -0.6279 -1.4450
7.9471 -2.9866 5.1917
4.8365 -6.7757 -0.6623
1.2907 -6.1368 0.8083
4.4013 -2.3477 6.6623
4.5974 -3.5253 -2.6506
6.3917 -4.8811 2.2648
1.0519 -2.8864 -1.1801
2.8461 -4.2422 3.7352
0.2385 -3.2520 1.9881
1.7942 -1.3558 4.9154
5.5150 -5.2435 5.4570
3.7228 -3.8798 0.5430
2.0307 -4.6157 6.9020
0.0000 0.0000 0.0000
```

Results
- crystal system = orthorhombic
- E_form (eV per atom) = -0.1100

(2)
The following is a GGA-PBE calculation of a relaxed AcDy2Hg2 crystal, from the Alexandria database.

Geometry as POSCAR:
```
AcDy2Hg2
1.0
3.8327 0.0000 0.0000
0.0000 3.7819 0.7166
0.0000 -0.0807 10.7641
Ac Hg Dy
1 2 2
Cartesian
0.0000 0.0000 0.0000
1.9164 2.2343 8.8839
1.9164 1.4668 2.5967
0.0000 3.0711 4.4677
0.0000 0.6300 7.0129
```

Results
- crystal system = orthorhombic
- E_form (eV per atom) = -0.2491

(3)
The following is a GGA-PBE calculation of a relaxed TiTc2Cl crystal, from the Alexandria database.

Geometry as POSCAR:
```
TiTc2Cl
1.0
-5.2029 2.1632 -4.6392
-0.7610 -6.8683 -2.3492
-4.6465 -2.7442 -1.8101
Tc Cl Ti
4 2 2
Cartesian
-4.0853 -0.3685 -3.2683
-2.7108 -4.5324 -2.8781
-8.6413 -5.6164 -7.2814
-5.7832 -4.3813 -4.1693
-2.9819 -2.3526 -3.4942
-4.1947 -5.9825 -3.8268
0.0000 0.0000 0.0000
-6.4156 -1.4668 -4.9718
```

Results
- crystal system = tetragonal
- excess energy over the best structure of this formula in the dataset (eV/f.u.) = 0.00

(4)
The following is a GGA-PBE calculation of a relaxed NaS2BrN crystal, from the Alexandria database.

Geometry as POSCAR:
```
NaS2BrN
1.0
-2.1266 -0.7869 4.5816
-1.0125 -4.8389 -1.3010
3.5191 -1.1236 1.4405
Na S N Br
1 2 1 1
Cartesian
0.1900 -3.3747 2.3605
-1.0633 -0.3934 2.2908
-0.5062 -2.4194 -0.6505
1.7596 -0.5618 0.7202
0.0000 0.0000 0.0000
```

Results
- crystal system = tetragonal
- excess energy over the best structure of this formula in the dataset (eV/f.u.) = 0.00

Number 1: DOS(E_F) 19.529 states/eV per cell. Number 2: DOS(E_F) 5.852 states/eV per cell. Number 3: DOS(E_F) 10.035 states/eV per cell. Number 4: DOS(E_F) 3.341 states/eV per cell.